Compound: NaScTe2I
Source: the Alexandria database
Functional: PBE
Structure: optimized geometry Values from VASP.

```
&SYSTEM
  ibrav = 0, nat = 5, ntyp = 4
/
ATOMIC_SPECIES
I 126.90 I.upf
Sc 44.96 Sc.upf
Te 127.60 Te.upf
Na 22.99 Na.upf
CELL_PARAMETERS angstrom
-1.0624 -3.6191 4.0842
-3.6090 -2.6549 -3.2914
4.4426 -3.5605 -1.9993
ATOMIC_POSITIONS angstrom
I 2.2213 -1.7802 -0.9997
Sc 0.0000 0.0000 0.0000
Te -1.8045 -1.3275 -1.6457
Te -0.5312 -1.8095 2.0421
Na -0.1144 -4.9172 -0.6033
```

N(E_F) (states/eV/cell): 4.40
Magnetic moment (μB per atom): 0.000
V (Å³ per cell): 186.5
ΔE_f (raw) (eV per atom): -0.782
Energy above the lowest structure with this stoichiometry (eV/f.u.): 0.00

***

Compound: Na2ScTlI6
Source: the Alexandria database
Functional: PBE
Structure: optimized geometry Values from VASP.

```
&SYSTEM
  ibrav = 0, nat = 10, ntyp = 4
/
ATOMIC_SPECIES
Na 22.99 Na.upf
Sc 44.96 Sc.upf
Tl 204.38 Tl.upf
I 126.90 I.upf
CELL_PARAMETERS angstrom
8.0316 0.0022 0.0026
4.0177 6.9528 0.0019
4.0182 2.3193 7.3400
ATOMIC_POSITIONS angstrom
Na 8.0346 4.6358 3.2904
Na 4.0197 2.3206 7.2925
Sc 4.0160 2.3181 0.1021
Tl 12.0490 6.9555 4.0467
I 6.4432 2.2761 1.7109
I 6.7828 7.1922 1.7114
I 10.8725 4.4442 1.7118
I 9.0492 6.7259 5.6555
I 9.3369 2.7132 5.6564
I 5.7173 4.4716 5.6548
```

N(E_F) (states/eV/cell): 0.00
Magnetic moment (μB per atom): 0.000
V (Å³ per cell): 409.7
ΔE_f (raw) (eV per atom): -1.107

***

Compound: NaSc2TlI
Source: the Alexandria database
Functional: PBE
Structure: optimized geometry Values from VASP.

```
&SYSTEM
  ibrav = 0, nat = 5, ntyp = 4
/
ATOMIC_SPECIES
I 126.90 I.upf
Sc 44.96 Sc.upf
Tl 204.38 Tl.upf
Na 22.99 Na.upf
CELL_PARAMETERS angstrom
5.4989 0.0000 0.0000
0.0000 5.2527 0.0000
0.0000 0.0000 5.4989
ATOMIC_POSITIONS angstrom
I 2.7495 2.6264 2.7495
Sc 0.0000 0.0000 2.7495
Sc 2.7495 0.0000 0.0000
Tl 0.0000 2.6264 0.0000
Na 0.0000 0.0000 0.0000
```

N(E_F) (states/eV/cell): 7.69
Magnetic moment (μB per atom): 0.000
V (Å³ per cell): 158.8
ΔE_f (raw) (eV per atom): 0.702

***

Compound: NaYScI2
Source: the Alexandria database
Functional: PBE
Structure: optimized geometry Values from VASP.

```
&SYSTEM
  ibrav = 0, nat = 5, ntyp = 4
/
ATOMIC_SPECIES
I 126.90 I.upf
Y 88.91 Y.upf
Sc 44.96 Sc.upf
Na 22.99 Na.upf
CELL_PARAMETERS angstrom
6.0001 0.0000 0.0000
0.0000 6.2634 0.0000
0.0000 0.0000 6.0001
ATOMIC_POSITIONS angstrom
I 0.0000 0.0000 3.0000
I 3.0000 0.0000 0.0000
Y 0.0000 0.0000 0.0000
Sc 0.0000 3.1317 0.0000
Na 3.0000 3.1317 3.0000
```

N(E_F) (states/eV/cell): 6.31
Magnetic moment (μB per atom): 0.529
V (Å³ per cell): 225.5
ΔE_f (raw) (eV per atom): -0.014

***

Compound: NaY2ScI
Source: the Alexandria database
Functional: PBE
Structure: optimized geometry Values from VASP.

```
&SYSTEM
  ibrav = 0, nat = 5, ntyp = 4
/
ATOMIC_SPECIES
I 126.90 I.upf
Y 88.91 Y.upf
Sc 44.96 Sc.upf
Na 22.99 Na.upf
CELL_PARAMETERS angstrom
5.6989 0.0000 0.0000
0.0000 5.8808 0.0000
0.0000 0.0000 5.6989
ATOMIC_POSITIONS angstrom
I 2.8495 2.9404 2.8495
Y 0.0000 0.0000 2.8495
Y 2.8495 0.0000 0.0000
Sc 0.0000 0.0000 0.0000
Na 0.0000 2.9404 0.0000
```

N(E_F) (states/eV/cell): 6.72
Magnetic moment (μB per atom): 0.000
V (Å³ per cell): 191.0
ΔE_f (raw) (eV per atom): 0.637

***

Compound: NaSe2I2
Source: the Alexandria database
Functional: PBE
Structure: optimized geometry Values from VASP.

```
&SYSTEM
  ibrav = 0, nat = 5, ntyp = 3
/
ATOMIC_SPECIES
I 126.90 I.upf
Na 22.99 Na.upf
Se 78.96 Se.upf
CELL_PARAMETERS angstrom
-2.9327 -0.4147 -2.6164
1.4330 -3.5312 -1.0465
-6.2441 -6.2275 5.0012
ATOMIC_POSITIONS angstrom
I -1.6758 -2.6900 -0.6799
I -6.0679 -7.4834 2.0181
Na 0.0000 0.0000 0.0000
Se -4.9633 -4.3076 0.2766
Se -2.7804 -5.8659 1.0616
```

N(E_F) (states/eV/cell): 4.46
Magnetic moment (μB per atom): 0.000
V (Å³ per cell): 152.2
ΔE_f (raw) (eV per atom): -0.184
Energy above the lowest structure with this stoichiometry (eV/f.u.): 0.82